1.
Material: La2Be2Cd
Method: DFT, GGA-PBE
State: optimized geometry

Unit cell a=6.958 b=6.958 c=4.645 alpha=90.00 beta=90.00 gamma=90.00
Sites, in units of the cell vectors:
Cd  0.500  0.500  0.000
Be  0.381  0.881  0.000
Be  0.619  0.119  0.000
La  0.833  0.333  0.500
La  0.333  0.167  0.500
Cd  0.000  0.000  0.000
La  0.167  0.667  0.500
Be  0.881  0.619  0.000
La  0.667  0.833  0.500
Be  0.119  0.381  0.000

Properties
The value obtained for the density of states at the Fermi level is 1.388 states/eV/f.u. The final energy comes out at -0.265 Ry/atom. Its energy relative to the elements is 0.20 eV/f.u. As for the size of the total moment: 0.000 μB per atom.



2.
Material: HoTh2Si2Ir7
Method: DFT, GGA-PBE
State: optimized geometry

Unit cell a=4.088 b=4.088 c=13.299 alpha=84.48 beta=84.48 gamma=89.55
Sites, in units of the cell vectors:
Ir  0.500  0.500  0.000
Ir  0.451  0.951  0.158
Th  0.100  0.100  0.654
Ir  0.049  0.549  0.842
Ir  0.370  0.370  0.428
Ir  0.951  0.451  0.158
Ho  0.000  0.000  0.000
Ir  0.549  0.049  0.842
Th  0.900  0.900  0.346
Ir  0.630  0.630  0.572
Si  0.577  0.577  0.750
Si  0.423  0.423  0.250

Properties
The value obtained for the density of states at the Fermi level is 7.085 states/eV/f.u. The final energy comes out at -0.625 Ry/atom. The raw formation energy is -0.812 eV per atom. As for the size of the total moment: 0.000 μB per atom.



3.
Material: MnBeCo
Method: DFT, GGA-PBE
State: optimized geometry

Unit cell a=2.437 b=5.901 c=4.486 alpha=77.97 beta=106.72 gamma=103.97
Sites, in units of the cell vectors:
Be  0.730  0.475  0.217
Mn  0.192  0.136  0.516
Mn  0.299  0.133  0.011
Be  0.629  0.800  0.857
Co  0.439  0.784  0.340
Co  0.927  0.480  0.743

Properties
The value obtained for the density of states at the Fermi level is 2.773 states/eV/f.u. The final energy comes out at -0.491 Ry/atom. Its energy above the lowest structure with this stoichiometry is 144 meV/atom. Its energy relative to the elements is -0.04 eV/f.u. As for the size of the total moment: 0.108 μB per atom.



4.
Material: ReRh
Method: DFT, GGA-PBE
State: optimized geometry

Unit cell a=3.251 b=3.251 c=5.589 alpha=90.00 beta=90.00 gamma=90.00
Sites, in units of the cell vectors:
Rh  0.500  0.000  0.377
Re  0.500  0.000  0.872
Re  0.000  0.500  0.128
Rh  0.000  0.500  0.623

Properties
The value obtained for the density of states at the Fermi level is 2.538 states/eV/f.u. The final energy comes out at -0.712 Ry/atom. Its energy above the lowest structure with this stoichiometry is 395 meV/atom. Its energy relative to the elements is 0.44 eV/f.u. As for the size of the total moment: 0.000 μB per atom.



5.
Material: Pm3Er3Cd2
Method: DFT, GGA-PBE
State: optimized geometry

Unit cell a=5.255 b=6.417 c=15.811 alpha=90.00 beta=90.00 gamma=114.17
Sites, in units of the cell vectors:
Cd  0.235  0.470  0.133
Cd  0.235  0.470  0.367
Pm  0.039  0.077  0.606
Er  0.643  0.286  0.035
Er  0.357  0.714  0.535
Er  0.546  0.093  0.750
Pm  0.961  0.923  0.106
Pm  0.734  0.467  0.250
Er  0.643  0.286  0.465
Cd  0.765  0.530  0.867
Pm  0.961  0.923  0.394
Pm  0.266  0.533  0.750
Er  0.357  0.714  0.965
Pm  0.039  0.077  0.894
Cd  0.765  0.530  0.633
Er  0.454  0.907  0.250

Properties
The value obtained for the density of states at the Fermi level is 9.259 states/eV/f.u. The final energy comes out at -0.279 Ry/atom. Its energy relative to the elements is -0.55 eV/f.u. As for the size of the total moment: 0.000 μB per atom.



6.
Material: LiTbTmMo
Method: DFT, GGA-PBE
State: optimized geometry

Unit cell a=4.973 b=4.973 c=4.973 alpha=60.00 beta=60.00 gamma=60.00
Sites, in units of the cell vectors:
Tb  0.500  0.500  0.500
Mo  0.250  0.250  0.250
Tm  0.000  0.000  0.000
Li  0.750  0.750  0.750

Properties
The value obtained for the density of states at the Fermi level is 5.385 states/eV/f.u. The final energy comes out at -0.383 Ry/atom. Its energy relative to the elements is 1.02 eV/f.u. As for the size of the total moment: 0.077 μB per atom.



7.
Material: Rb2ZnAs2Pb
Method: DFT, GGA-PBE
State: optimized geometry

Unit cell a=6.992 b=6.924 c=9.375 alpha=111.67 beta=111.90 gamma=90.00
Sites, in units of the cell vectors:
As  0.386  0.592  0.184
Zn  0.500  0.250  0.000
As  0.202  0.908  0.816
As  0.798  0.092  0.184
Rb  0.427  0.174  0.349
Rb  0.573  0.826  0.651
Rb  0.922  0.674  0.349
Rb  0.078  0.326  0.651
Pb  0.000  0.250  0.000
Zn  0.500  0.750  0.000
As  0.614  0.408  0.816
Pb  0.000  0.750  0.000

Properties
The value obtained for the density of states at the Fermi level is 1.589 states/eV/f.u. The final energy comes out at -0.220 Ry/atom. Its energy relative to the elements is -1.76 eV/f.u. As for the size of the total moment: 0.000 μB per atom.



8.
Material: BaGe2Br6
Method: DFT, GGA-PBE
State: optimized geometry

Unit cell a=7.900 b=7.900 c=8.405 alpha=61.97 beta=61.97 gamma=60.00
Sites, in units of the cell vectors:
Ge  0.761  0.761  0.717
Br  0.049  0.773  0.789
Ge  0.632  0.632  0.103
Br  0.325  0.535  0.274
Br  0.535  0.867  0.274
Br  0.867  0.325  0.274
Br  0.389  0.049  0.789
Ba  0.335  0.335  0.994
Br  0.773  0.389  0.789

Properties
The value obtained for the density of states at the Fermi level is 0.000 states/eV/f.u. The final energy comes out at -0.249 Ry/atom. Its energy above the lowest structure with this stoichiometry is 52 meV/atom. The raw formation energy is -1.030 eV per atom. As for the size of the total moment: 0.000 μB per atom.



9.
Material: Al2AgAu9
Method: DFT, GGA-PBE
State: optimized geometry

Unit cell a=5.836 b=9.189 c=9.189 alpha=84.21 beta=71.48 gamma=71.48
Sites, in units of the cell vectors:
Au  0.383  0.464  0.785
Au  0.153  0.464  0.215
Ag  0.250  0.500  0.500
Al  0.375  0.750  0.750
Au  0.750  0.500  0.500
Au  0.831  0.536  0.785
Au  0.117  0.964  0.285
Al  0.875  0.250  0.750
Au  0.633  0.536  0.215
Au  0.633  0.215  0.536
Au  0.383  0.785  0.464
Au  0.000  0.000  0.000
Au  0.919  0.715  0.964
Au  0.367  0.036  0.715
Al  0.875  0.250  0.250
Au  0.597  0.285  0.036
Au  0.919  0.964  0.715
Au  0.153  0.215  0.464
Ag  0.500  0.000  0.000
Au  0.831  0.785  0.536
Al  0.875  0.750  0.250
Au  0.597  0.036  0.285
Au  0.367  0.715  0.036
Au  0.117  0.285  0.964

Properties
The value obtained for the density of states at the Fermi level is 3.586 states/eV/f.u. The final energy comes out at -0.251 Ry/atom. Its energy relative to the elements is -1.16 eV/f.u. As for the size of the total moment: 0.000 μB per atom.



10.
Material: BC2
Method: DFT, GGA-PBE
State: optimized geometry

Unit cell a=4.483 b=4.483 c=7.936 alpha=115.86 beta=115.86 gamma=32.51
Sites, in units of the cell vectors:
B  0.673  0.673  0.829
C  0.491  0.491  0.386
B  0.174  0.174  0.212
C  0.997  0.997  0.503
C  0.497  0.497  0.858
C  0.336  0.336  0.661
B  0.662  0.662  0.358
C  0.171  0.171  0.691
C  0.839  0.839  0.549
C  0.338  0.338  0.168
C  0.851  0.851  0.068
B  0.970  0.970  0.966

Properties
The value obtained for the density of states at the Fermi level is 0.458 states/eV/f.u. The final energy comes out at -0.591 Ry/atom. Its energy above the lowest structure with this stoichiometry is 97 meV/atom. Its energy relative to the elements is 1.01 eV/f.u. As for the size of the total moment: 0.000 μB per atom.



11.
Material: NpNbBrO4
Method: DFT, GGA-PBE
State: optimized geometry

Unit cell a=6.536 b=6.536 c=6.965 alpha=73.93 beta=73.93 gamma=67.81
Sites, in units of the cell vectors:
O  0.443  0.443  0.849
Nb  0.372  0.372  0.243
O  0.510  0.914  0.834
O  0.086  0.490  0.166
Np  0.765  0.765  0.142
O  0.914  0.510  0.834
Br  0.004  0.004  0.247
O  0.490  0.086  0.166
O  0.681  0.681  0.474
O  0.557  0.557  0.151
O  0.319  0.319  0.526
Br  0.996  0.996  0.753
Np  0.235  0.235  0.858
Nb  0.628  0.628  0.757

Properties
The value obtained for the density of states at the Fermi level is 5.459 states/eV/f.u. The final energy comes out at -0.646 Ry/atom. The raw formation energy is -2.435 eV per atom. As for the size of the total moment: 0.429 μB per atom.



12.
Material: Ba2CuGe
Method: DFT, GGA-PBE
State: optimized geometry

Unit cell a=6.434 b=6.434 c=10.062 alpha=71.35 beta=71.35 gamma=90.00
Sites, in units of the cell vectors:
Ba  0.375  0.377  0.750
Cu  0.500  0.500  0.000
Ge  0.000  0.000  0.000
Ge  0.750  0.250  0.500
Ba  0.623  0.125  0.250
Ba  0.127  0.625  0.250
Ba  0.875  0.873  0.750
Cu  0.250  0.750  0.500

Properties
The value obtained for the density of states at the Fermi level is 3.636 states/eV/f.u. The final energy comes out at -0.212 Ry/atom. Its energy relative to the elements is 1.01 eV/f.u. As for the size of the total moment: 0.194 μB per atom.



Among the records above, which one has the highest final energy? Ba2CuGe



Which of these has the highest final energy? Ba2CuGe